Record 1
VASP calculation (SCAN) on a crystal of PRuRhS2 relaxed with PBEsol.

Geometry as CIF:
```
data_PRuRhS2
_chemical_formula_sum 'P1 Ru1 Rh1 S2'
_symmetry_space_group_name_H-M 'P 4/m m m'
_symmetry_Int_Tables_number 123
_symmetry_space_group_name_Hall '-P 4 2'
_cell_length_a 4.5090
_cell_length_b 4.5090
_cell_length_c 4.3365
_cell_angle_alpha 90.00
_cell_angle_beta 90.00
_cell_angle_gamma 90.00
loop_
_atom_site_label
_atom_site_type_symbol
_atom_site_fract_x
_atom_site_fract_y
_atom_site_fract_z
P1 P 0.0000 0.0000 0.0000
Ru1 Ru 0.5000 0.5000 0.0000
Rh1 Rh 0.0000 0.0000 0.5000
S1 S 0.0000 0.5000 0.5000
```

Properties
Energy in eV/atom: -18.640
Energy above the lowest structure with this stoichiometry in meV/atom: 85
Energy relative to the elements, uncorrected in eV per atom: 1.010

Record 2
VASP calculation (SCAN) on a crystal of PRuRhS2 relaxed with PBEsol.

Geometry as CIF:
```
data_PRuRhS2
_chemical_formula_sum 'P1 Ru1 Rh1 S2'
_symmetry_space_group_name_H-M 'P 4/m m m'
_symmetry_Int_Tables_number 123
_symmetry_space_group_name_Hall '-P 4 2'
_cell_length_a 4.4939
_cell_length_b 4.4939
_cell_length_c 4.4013
_cell_angle_alpha 90.00
_cell_angle_beta 90.00
_cell_angle_gamma 90.00
loop_
_atom_site_label
_atom_site_type_symbol
_atom_site_fract_x
_atom_site_fract_y
_atom_site_fract_z
P1 P 0.0000 0.0000 0.0000
Ru1 Ru 0.0000 0.0000 0.5000
Rh1 Rh 0.5000 0.5000 0.0000
S1 S 0.0000 0.5000 0.5000
```

Properties
Energy in eV/atom: -18.725
Energy above the lowest structure with this stoichiometry in meV/atom: 0
Energy relative to the elements, uncorrected in eV per atom: 0.925

Record 3
VASP calculation (SCAN) on a crystal of PRh2S relaxed with PBEsol.

Geometry as CIF:
```
data_PRh2S
_chemical_formula_sum 'P4 Rh8 S4'
_symmetry_space_group_name_H-M 'F m -3 m'
_symmetry_Int_Tables_number 225
_symmetry_space_group_name_Hall '-F 4 2 3'
_cell_length_a 5.9400
_cell_length_b 5.9400
_cell_length_c 5.9400
_cell_angle_alpha 90.00
_cell_angle_beta 90.00
_cell_angle_gamma 90.00
loop_
_atom_site_label
_atom_site_type_symbol
_atom_site_fract_x
_atom_site_fract_y
_atom_site_fract_z
P1 P 0.0000 0.0000 0.0000
Rh1 Rh 0.2500 0.2500 0.2500
S1 S 0.0000 0.0000 0.5000
```

Properties
Energy in eV/atom: -21.889
Energy relative to the elements, uncorrected in eV per atom: 0.004

Record 4
VASP calculation (SCAN) on a crystal of SiP2RhS relaxed with PBEsol.

Geometry as CIF:
```
data_SiP2RhS
_chemical_formula_sum 'Si1 P2 Rh1 S1'
_symmetry_space_group_name_H-M 'P 4/m m m'
_symmetry_Int_Tables_number 123
_symmetry_space_group_name_Hall '-P 4 2'
_cell_length_a 4.3539
_cell_length_b 4.3539
_cell_length_c 4.3015
_cell_angle_alpha 90.00
_cell_angle_beta 90.00
_cell_angle_gamma 90.00
loop_
_atom_site_label
_atom_site_type_symbol
_atom_site_fract_x
_atom_site_fract_y
_atom_site_fract_z
Si1 Si 0.0000 0.0000 0.0000
P1 P 0.0000 0.5000 0.0000
Rh1 Rh 0.5000 0.5000 0.5000
S1 S 0.0000 0.0000 0.5000
```

Properties
Energy in eV/atom: -13.965
Energy relative to the elements, uncorrected in eV per atom: 0.877